(1)
## TlCuCl3 (PBE-GGA)

Data for TlCuCl3 after structural relaxation.

Lattice parameters (Å, degrees): 5.313 5.313 21.552 90.00 90.00 90.00
Space group I-4m2 (No. 119)
Symmetry-distinct sites (fractional):
Tl1 0.000 0.000 0.097
Cu1 0.000 0.000 0.500
Cu2 0.000 0.500 0.250
Cl1 0.000 0.241 0.332
Cl2 0.000 0.500 0.506

Values from the calculation:
DOS at the Fermi energy: 1.2 states/eV/f.u.
VASP energy: -2.89 eV per atom
E_form (uncorrected): -234 kJ/mol of formula units

---

(2)
## PdC3Br (PBE-GGA)

Data for PdC3Br after structural relaxation.

Lattice parameters (Å, degrees): 4.138 4.138 4.138 90.00 90.00 90.00
Space group Pm-3m (No. 221)
Symmetry-distinct sites (fractional):
Pd1 0.000 0.000 0.000
C1 0.000 0.000 0.500
Br1 0.500 0.500 0.500

Values from the calculation:
DOS at the Fermi energy: 4.1 states/eV/f.u.
energy above the lowest structure with this stoichiometry: 0 meV/atom
VASP energy: -4.12 eV per atom
E_form (uncorrected): 1344 kJ/mol of formula units

---

Question: Which value of VASP energy does entry 2 give?
Answer: -4.12 eV per atom